a.
YVRh2 | Alexandria | PBE | relaxed; N(E_F) = 3.9 states/eV per cell; crystal system = tetragonal; SG = P4/mmm, No. 123
1.0
-0.005 -1.280 -2.786
-0.593 -2.733 1.256
-7.060 1.270 -0.570
Y V Rh
1 1 2
Cartesian
-3.829 -1.371 -1.050
-0.299 -2.006 -0.765
-1.413 0.254 -0.114
-5.647 1.015 -0.456

---

b.
YVRh2 | Alexandria | PBE | relaxed; N(E_F) = 5.8 states/eV per cell; crystal system = tetragonal; SG = P4/mmm, No. 123
1.0
3.161 0.000 0.000
0.000 4.663 0.000
0.000 0.000 4.663
Rh Y V
2 1 1
Cartesian
0.000 2.332 0.000
0.000 0.000 2.332
1.581 0.000 0.000
1.581 2.332 2.332

---

What should be chosen as the least stable of them? Choose b.

---

a.
YV3Rh | Alexandria | PBE | relaxed; N(E_F) = 5.2 states/eV per cell; crystal system = cubic; SG = Pm-3m, No. 221
1.0
4.683 0.000 0.000
0.000 4.683 0.000
0.000 0.000 4.683
V Y Rh
3 1 1
Cartesian
0.000 0.000 2.342
0.000 2.342 0.000
2.342 0.000 0.000
2.342 2.342 2.342
0.000 0.000 0.000

---

b.
YV3Rh | Alexandria | PBE | relaxed; N(E_F) = 6.4 states/eV per cell; crystal system = cubic; SG = Pm-3m, No. 221
1.0
4.549 0.000 0.000
0.000 4.549 0.000
0.000 0.000 4.549
V Rh Y
3 1 1
Cartesian
0.000 2.274 0.000
2.274 0.000 0.000
0.000 0.000 2.274
2.274 2.274 2.274
0.000 0.000 0.000

---

What should be chosen as the least stable of them? Choose b.

---

a.
Y2VRh | Alexandria | PBE | relaxed; N(E_F) = 12.4 states/eV per cell; crystal system = tetragonal; SG = I-42d, No. 122
1.0
7.755 0.000 0.000
0.000 7.755 0.000
3.878 3.878 3.130
Rh Y V
2 4 2
Cartesian
7.755 3.878 1.565
0.000 0.000 0.000
5.816 5.555 2.348
1.677 5.816 0.783
6.078 1.939 0.783
9.694 9.956 2.348
3.878 7.755 1.565
3.878 3.878 0.000

---

b.
Y2VRh | Alexandria | PBE | relaxed; N(E_F) = 3.3 states/eV per cell; crystal system = cubic; SG = Fm-3m, No. 225
1.0
-2.589 3.537 2.323
-1.071 4.237 -2.347
-4.668 0.964 -1.373
Y Rh V
2 1 1
Cartesian
-6.246 6.553 -1.047
-2.082 2.184 -0.349
-4.164 4.369 -0.698
0.000 0.000 0.000

---

What should be chosen as the least stable of them? Choose a.

---

a.
YV2Rh2 | Alexandria | PBE | relaxed; N(E_F) = 11.3 states/eV per cell; crystal system = tetragonal; SG = P4/mbm, No. 127
1.0
7.613 0.000 0.000
0.000 7.613 0.000
0.000 0.000 2.799
Y V Rh
2 4 4
Cartesian
0.000 0.000 0.000
3.806 3.806 0.000
6.522 4.897 0.000
1.091 2.716 0.000
4.897 1.091 0.000
2.716 6.522 0.000
2.674 1.132 1.400
6.481 2.674 1.400
4.938 6.481 1.400
1.132 4.938 1.400

---

b.
YV2Rh2 | Alexandria | PBE | relaxed; N(E_F) = 4.1 states/eV per cell; crystal system = tetragonal; SG = I4/mmm, No. 139
1.0
4.358 0.000 0.000
0.000 4.358 0.000
2.179 2.179 4.661
V Rh Y
2 2 1
Cartesian
2.179 2.179 1.167
4.358 4.358 3.495
4.358 2.179 2.331
2.179 4.358 2.331
0.000 0.000 0.000

---

c.
YV2Rh2 | Alexandria | PBE | relaxed; N(E_F) = 3.7 states/eV per cell; crystal system = tetragonal; SG = I4/mmm, No. 139
1.0
4.217 0.000 0.000
0.000 4.217 0.000
2.109 2.109 5.071
Rh V Y
2 2 1
Cartesian
4.217 4.217 3.753
2.109 2.109 1.318
2.109 4.217 2.535
4.217 2.109 2.535
0.000 0.000 0.000

---

What should be chosen as the least stable of them? Choose a.

---

a.
VZnRh6 | Alexandria | PBE | relaxed; N(E_F) = 10.4 states/eV per cell; crystal system = monoclinic; SG = C2/m, No. 12
1.0
4.527 0.551 0.079
0.890 4.473 0.079
1.679 1.558 6.463
Rh V Zn
6 1 1
Cartesian
4.191 5.590 4.612
1.207 2.823 2.009
2.905 0.992 2.009
3.544 3.287 6.007
3.552 3.294 0.613
5.889 3.759 4.612
3.548 3.291 3.310
0.000 0.000 0.000

---

b.
VZnRh6 | Alexandria | PBE | relaxed; N(E_F) = 8.8 states/eV per cell; crystal system = tetragonal; SG = P4/mmm, No. 123
1.0
3.815 0.000 0.000
0.000 3.815 0.000
0.000 0.000 7.687
V Rh Zn
1 6 1
Cartesian
0.000 0.000 3.844
1.907 0.000 5.707
0.000 1.907 1.981
1.907 1.907 0.000
1.907 1.907 3.844
1.907 0.000 1.981
0.000 1.907 5.707
0.000 0.000 0.000

---

What should be chosen as the least stable of them? Choose a.

---

a.
Zr2VRh | Alexandria | PBE | relaxed; N(E_F) = 4.9 states/eV per cell; crystal system = trigonal; SG = R-3m, No. 166
1.0
-1.144 -2.142 -1.645
1.726 -1.554 -1.792
1.920 -7.814 6.225
V Zr Rh
1 2 1
Cartesian
0.000 0.000 0.000
1.453 -6.036 4.233
1.049 -5.474 -1.445
1.251 -5.755 1.394

---

b.
Zr2VRh | Alexandria | PBE | relaxed; N(E_F) = 9.7 states/eV per cell; crystal system = tetragonal; SG = I-42d, No. 122
1.0
7.332 0.000 0.000
0.000 7.332 0.000
3.666 3.666 2.912
V Rh Zr
2 2 4
Cartesian
3.666 3.666 0.000
3.666 7.332 1.456
7.332 3.666 1.456
0.000 0.000 0.000
9.165 9.319 2.184
5.499 5.345 2.184
5.653 1.833 0.728
1.679 5.499 0.728

---

c.
Zr2VRh | Alexandria | PBE | relaxed; N(E_F) = 5.1 states/eV per cell; crystal system = tetragonal; SG = P4/mmm, No. 123
1.0
-1.653 2.288 -1.687
1.362 -1.076 -2.793
-5.069 -4.270 -0.826
V Zr Rh
1 2 1
Cartesian
-0.145 0.606 -2.240
-3.797 -3.198 -0.619
-1.272 -1.071 -0.207
-2.680 -1.529 -2.653

---

What should be chosen as the least stable of them? Choose a.